Version A
## TmPaTe (GGA-PBE)

Data for an optimized crystal structure of TmPaTe.

Properties
V, Å³/atom: 27.8
Space-group type: No. 107
Magnetization, μB/f.u.: 1.28

Structure (POSCAR):
```
TmPaTe
1.0
-0.684 -1.393 3.355
3.633 -0.269 0.629
-1.463 6.464 0.348
Pa Te Tm
1 1 1
Direct
0.012 0.012 0.024
0.669 0.669 0.339
0.319 0.319 0.637
```


Version B
## TmPaTe (GGA-PBE)

Data for an optimized crystal structure of TmPaTe.

Properties
V, Å³/atom: 27.6
Space-group type: No. 187
Magnetization, μB/f.u.: 1.34

Structure (POSCAR):
```
TmPaTe
1.0
-2.797 -1.361 1.884
-2.318 -1.303 -4.383
3.165 -3.308 2.308
Te Pa Tm
1 1 1
Direct
0.500 0.333 0.667
0.000 0.000 0.000
0.500 0.667 0.333
```


Relative energies, in meV per atom, with the most stable structure set to zero: version A 0; version B 217.